(1)
# LaDyTm3 GGA-PBE relaxed
data_LaDyTm3
_cell_length_a 5.4724
_cell_length_b 11.7853
_cell_length_c 10.2823
_cell_angle_alpha 90.00
_cell_angle_beta 90.00
_cell_angle_gamma 90.00
_space_group_name_H-M_alt 'C m c m'
_space_group_IT_number 63
_space_group_name_Hall '-C 2c 2'
loop_
_atom_site_label
_atom_site_fract_x
_atom_site_fract_y
_atom_site_fract_z
_atom_site_occupancy
La1 0.0000 0.0514 0.2500 1
Dy1 0.0000 0.5000 0.0000 1
Tm1 0.0000 0.1929 0.5635 1
Tm2 0.0000 0.3284 0.2500 1
# E_form	183	meV/atom
# relative energy among the computed polymorphs	0	meV/atom
# mass density	8.10	g/cm3
# Fermi-level density of states	36.24	states/eV/cell

---

(2)
# AcPBr GGA-PBE relaxed
data_AcPBr
_cell_length_a 16.1884
_cell_length_b 4.3060
_cell_length_c 6.1269
_cell_angle_alpha 90.00
_cell_angle_beta 112.08
_cell_angle_gamma 90.00
_space_group_name_H-M_alt 'C 1 2/m 1'
_space_group_IT_number 12
loop_
_space_group_symop_operation_xyz
'x,y,z'
'-x,-y,-z'
'-x,y,-z'
'x,-y,z'
'x+1/2,y+1/2,z'
'-x+1/2,-y+1/2,-z'
'-x+1/2,y+1/2,-z'
'x+1/2,-y+1/2,z'
loop_
_atom_site_label
_atom_site_fract_x
_atom_site_fract_y
_atom_site_fract_z
_atom_site_occupancy
Ac1 0.1250 0.0000 0.1267 1
P1 0.0049 0.5000 0.1905 1
Br1 0.2103 0.0000 0.7114 1
# ΔE_f (raw)	-1460	meV/atom
# relative energy among the computed polymorphs	46	meV/atom
# mass density	5.67	g/cm3

---

(3)
# Ba2TaOs GGA-PBE relaxed
data_Ba2TaOs
_cell_length_a 4.3511
_cell_length_b 4.3511
_cell_length_c 28.3272
_cell_angle_alpha 90.00
_cell_angle_beta 90.00
_cell_angle_gamma 120.00
_space_group_name_H-M_alt 'R 3 m'
_space_group_IT_number 160
_space_group_name_Hall 'R 3 -2"'
loop_
_atom_site_label
_atom_site_fract_x
_atom_site_fract_y
_atom_site_fract_z
_atom_site_occupancy
Ba1 0.0000 0.0000 0.0000 1
Ba2 0.0000 0.0000 0.1783 1
Ta1 0.0000 0.0000 0.4227 1
Os1 0.0000 0.0000 0.7553 1
# E_form	306	meV/atom
# relative energy among the computed polymorphs	0	meV/atom
# mass density	6.93	g/cm3
# Fermi-level density of states	14.84	states/eV/cell

---

(4)
# Tl8Hg2Pb GGA-PBE relaxed
data_Tl8Hg2Pb
_cell_length_a 16.7663
_cell_length_b 6.5410
_cell_length_c 6.6724
_cell_angle_alpha 90.00
_cell_angle_beta 107.16
_cell_angle_gamma 90.00
_space_group_name_H-M_alt 'C 1 2/m 1'
_space_group_IT_number 12
loop_
_space_group_symop_operation_xyz
'x,y,z'
'-x,-y,-z'
'-x,y,-z'
'x,-y,z'
'x+1/2,y+1/2,z'
'-x+1/2,-y+1/2,-z'
'-x+1/2,y+1/2,-z'
'x+1/2,-y+1/2,z'
loop_
_atom_site_label
_atom_site_fract_x
_atom_site_fract_y
_atom_site_fract_z
_atom_site_occupancy
Tl1 0.0797 0.2409 0.4237 1
Tl2 0.1130 0.0000 0.9725 1
Tl3 0.2389 0.5000 0.3345 1
Hg1 0.1762 0.5000 0.8415 1
Pb1 0.0000 0.5000 0.0000 1
# E_form	47	meV/atom
# mass density	10.66	g/cm3
# Fermi-level density of states	10.03	states/eV/cell

---

(5)
# PuMn2Fe GGA-PBE relaxed
data_PuMn2Fe
_cell_length_a 3.8940
_cell_length_b 3.8940
_cell_length_c 3.9116
_cell_angle_alpha 90.00
_cell_angle_beta 90.00
_cell_angle_gamma 90.00
_space_group_name_H-M_alt 'P 4/m m m'
_space_group_IT_number 123
_space_group_name_Hall '-P 4 2'
loop_
_atom_site_label
_atom_site_fract_x
_atom_site_fract_y
_atom_site_fract_z
_atom_site_occupancy
Pu1 0.0000 0.0000 0.0000 1
Mn1 0.0000 0.5000 0.5000 1
Fe1 0.5000 0.5000 0.0000 1
# E_form	17	meV/atom
# relative energy among the computed polymorphs	0	meV/atom
# mass density	11.47	g/cm3
# Fermi-level density of states	2.69	states/eV/cell

---

(6)
# LiInTcO5 GGA-PBE relaxed
data_LiInTcO5
_cell_length_a 6.1799
_cell_length_b 10.4154
_cell_length_c 7.4373
_cell_angle_alpha 90.00
_cell_angle_beta 109.16
_cell_angle_gamma 90.00
_space_group_name_H-M_alt 'C 1 2/c 1'
_space_group_IT_number 15
loop_
_space_group_symop_operation_xyz
'x,y,z'
'-x,-y,-z'
'-x,y,-z+1/2'
'x,-y,z+1/2'
'x+1/2,y+1/2,z'
'-x+1/2,-y+1/2,-z'
'-x+1/2,y+1/2,-z+1/2'
'x+1/2,-y+1/2,z+1/2'
loop_
_atom_site_label
_atom_site_fract_x
_atom_site_fract_y
_atom_site_fract_z
_atom_site_occupancy
Li1 0.0000 0.2328 0.2500 1
In1 0.0000 0.5000 0.0000 1
Tc1 0.0000 0.2044 0.7500 1
O1 0.0000 0.4162 0.2500 1
O2 0.1546 0.1056 0.9442 1
O3 0.1649 0.3133 0.6554 1
# ΔE_f (raw)	-1470	meV/atom
# mass density	4.40	g/cm3
# Fermi-level density of states	7.71	states/eV/cell